# YPaAgGe (GGA-PBE, relaxed)
# DFT total energy   -6.022 eV per atom
data_YPaAgGe
_cell_length_a 7.214
_cell_length_b 7.214
_cell_length_c 7.214
_cell_angle_alpha 90.00
_cell_angle_beta 90.00
_cell_angle_gamma 90.00
_symmetry_space_group_name_H-M 'F -4 3 m'
_symmetry_Int_Tables_number 216
_symmetry_space_group_name_Hall 'F -4 2 3'
loop_
_atom_site_label
_atom_site_fract_x
_atom_site_fract_y
_atom_site_fract_z
_atom_site_occupancy
Y1 0.000 0.000 0.000 1
Pa1 0.000 0.000 0.500 1
Ag1 0.250 0.250 0.250 1
Ge1 0.250 0.250 0.750 1